Density functional theory data (GGA-PBE) for an optimized crystal structure of Pa2InO6.

- total magnetic moment (μB per formula unit) = 1.00
- D(E_F) (states/eV/f.u.) = 6.04
- SG = Pnnm, No. 58
- final energy (eV/atom) = -8.62

POSCAR file:
```
Pa2InO6
1.0
5.337 0.000 0.000
0.000 5.823 0.000
0.000 0.000 9.500
Pa In O
4 2 12
Direct
0.000 0.000 0.190
0.000 0.000 0.810
0.500 0.500 0.310
0.500 0.500 0.690
0.000 0.500 0.000
0.500 0.000 0.500
0.179 0.162 0.000
0.221 0.666 0.170
0.221 0.666 0.830
0.279 0.166 0.330
0.279 0.166 0.670
0.321 0.662 0.500
0.679 0.338 0.500
0.721 0.834 0.330
0.721 0.834 0.670
0.779 0.334 0.170
0.779 0.334 0.830
0.821 0.838 0.000
```

---

Density functional theory data (GGA-PBE) for an optimized crystal structure of PaIn2O6.

- total magnetic moment (μB per formula unit) = 0.69
- D(E_F) (states/eV/f.u.) = 9.25
- SG = P-31m, No. 162
- final energy (eV/atom) = -7.07

POSCAR file:
```
PaIn2O6
1.0
5.526 0.000 0.000
-2.763 4.786 0.000
0.000 0.000 4.783
Pa In O
1 2 6
Direct
0.000 0.000 0.000
0.333 0.667 0.500
0.667 0.333 0.500
0.000 0.328 0.743
0.000 0.672 0.257
0.328 0.000 0.743
0.328 0.328 0.257
0.672 0.000 0.257
0.672 0.672 0.743
```

---

Density functional theory data (GGA-PBE) for an optimized crystal structure of PaIn2PbO8.

- total magnetic moment (μB per formula unit) = 0.33
- D(E_F) (states/eV/f.u.) = 11.06
- SG = I-4m2, No. 119
- final energy (eV/atom) = -6.51

POSCAR file:
```
PaIn2PbO8
1.0
-3.463 3.463 3.749
3.463 -3.463 3.749
3.463 3.463 -3.749
Pa In Pb O
1 2 1 8
Direct
0.000 0.000 0.000
0.500 0.500 0.000
0.750 0.250 0.500
0.250 0.750 0.500
0.285 0.097 0.813
0.285 0.472 0.187
0.350 0.045 0.305
0.528 0.715 0.813
0.740 0.045 0.695
0.903 0.715 0.187
0.955 0.260 0.305
0.955 0.650 0.695
```

---

Density functional theory data (GGA-PBE) for an optimized crystal structure of PaIn2PdO8.

- total magnetic moment (μB per formula unit) = 0.95
- D(E_F) (states/eV/f.u.) = 4.80
- SG = P2/m, No. 10
- final energy (eV/atom) = -6.65

POSCAR file:
```
PaIn2PdO8
1.0
4.938 0.000 0.000
0.000 6.656 0.000
-0.081 0.000 4.940
Pa In Pd O
1 2 1 8
Direct
0.000 0.000 0.000
0.500 0.257 0.500
0.500 0.743 0.500
0.000 0.500 0.000
0.189 0.265 0.812
0.189 0.735 0.812
0.287 0.500 0.289
0.306 0.000 0.308
0.694 0.000 0.692
0.713 0.500 0.711
0.811 0.265 0.188
0.811 0.735 0.188
```

---

Density functional theory data (GGA-PBE) for an optimized crystal structure of PrPaInO6.

- total magnetic moment (μB per formula unit) = 0.59
- D(E_F) (states/eV/f.u.) = 8.16
- SG = P312, No. 149
- final energy (eV/atom) = -7.76

POSCAR file:
```
PrPaInO6
1.0
5.752 0.000 0.000
-2.876 4.981 0.000
0.000 0.000 4.829
Pr Pa In O
1 1 1 6
Direct
0.000 0.000 0.000
0.667 0.333 0.500
0.333 0.667 0.000
0.363 0.006 0.247
0.363 0.357 0.753
0.643 0.006 0.753
0.643 0.637 0.247
0.994 0.357 0.247
0.994 0.637 0.753
```

---

Density functional theory data (GGA-PBE) for an optimized crystal structure of PaIn2PtO8.

- total magnetic moment (μB per formula unit) = 0.98
- D(E_F) (states/eV/f.u.) = 3.71
- SG = P2/m, No. 10
- final energy (eV/atom) = -6.80

POSCAR file:
```
PaIn2PtO8
1.0
4.934 0.000 0.000
0.000 6.669 0.000
-0.105 0.000 4.944
Pa In Pt O
1 2 1 8
Direct
0.000 0.000 0.000
0.500 0.258 0.500
0.500 0.742 0.500
0.000 0.500 0.000
0.189 0.267 0.813
0.189 0.733 0.813
0.286 0.500 0.288
0.306 0.000 0.308
0.694 0.000 0.692
0.714 0.500 0.712
0.811 0.267 0.187
0.811 0.733 0.187
```

---

Density functional theory data (GGA-PBE) for an optimized crystal structure of PaInPtO6.

- total magnetic moment (μB per formula unit) = 0.00
- D(E_F) (states/eV/f.u.) = 0.00
- SG = P4_2nm, No. 102
- final energy (eV/atom) = -7.29

POSCAR file:
```
PaInPtO6
1.0
4.943 0.000 0.000
0.000 4.943 0.000
0.000 0.000 9.966
Pa In Pt O
2 2 2 12
Direct
0.000 0.000 0.000
0.500 0.500 0.500
0.000 0.000 0.669
0.500 0.500 0.169
0.000 0.000 0.334
0.500 0.500 0.834
0.185 0.185 0.491
0.188 0.188 0.174
0.208 0.208 0.837
0.292 0.708 0.337
0.312 0.688 0.674
0.315 0.685 0.991
0.685 0.315 0.991
0.688 0.312 0.674
0.708 0.292 0.337
0.792 0.792 0.837
0.812 0.812 0.174
0.815 0.815 0.491
```

---

Density functional theory data (GGA-PBE) for an optimized crystal structure of RbPa2InO8.

- total magnetic moment (μB per formula unit) = 0.02
- D(E_F) (states/eV/f.u.) = 0.00
- SG = P2/m, No. 10
- final energy (eV/atom) = -7.70

POSCAR file:
```
RbPa2InO8
1.0
4.945 0.000 0.000
0.000 8.219 0.000
-0.087 0.000 4.958
Rb Pa In O
1 2 1 8
Direct
0.000 0.000 0.000
0.500 0.285 0.500
0.500 0.715 0.500
0.000 0.500 0.000
0.210 0.297 0.212
0.210 0.703 0.212
0.311 0.500 0.690
0.395 0.000 0.605
0.605 0.000 0.395
0.689 0.500 0.310
0.790 0.297 0.788
0.790 0.703 0.788
```

---

Density functional theory data (GGA-PBE) for an optimized crystal structure of Rb4Pa3InO12.

- total magnetic moment (μB per formula unit) = 1.76
- D(E_F) (states/eV/f.u.) = 18.44
- SG = Im-3m, No. 229
- final energy (eV/atom) = -7.30

POSCAR file:
```
Rb4Pa3InO12
1.0
-4.388 4.388 4.388
4.388 -4.388 4.388
4.388 4.388 -4.388
Rb Pa In O
4 3 1 12
Direct
0.000 0.000 0.500
0.000 0.500 0.000
0.500 0.000 0.000
0.500 0.500 0.500
0.000 0.500 0.500
0.500 0.000 0.500
0.500 0.500 0.000
0.000 0.000 0.000
0.000 0.258 0.258
0.000 0.742 0.742
0.250 0.500 0.750
0.250 0.750 0.500
0.258 0.000 0.258
0.258 0.258 0.000
0.500 0.250 0.750
0.500 0.750 0.250
0.742 0.000 0.742
0.742 0.742 0.000
0.750 0.250 0.500
0.750 0.500 0.250
```

---

Density functional theory data (GGA-PBE) for an optimized crystal structure of Rb2PaIn2O6.

- total magnetic moment (μB per formula unit) = 0.82
- D(E_F) (states/eV/f.u.) = 2.52
- SG = C2/m, No. 12
- final energy (eV/atom) = -6.29

POSCAR file:
```
Rb2PaIn2O6
1.0
5.450 -3.223 0.000
5.450 3.223 0.000
-3.677 0.000 6.273
Rb Pa In O
2 1 2 6
Direct
0.205 0.205 0.160
0.795 0.795 0.840
0.000 0.000 0.500
0.441 0.441 0.769
0.559 0.559 0.231
0.198 0.724 0.259
0.224 0.224 0.599
0.276 0.802 0.741
0.724 0.198 0.259
0.776 0.776 0.401
0.802 0.276 0.741
```

---

Density functional theory data (GGA-PBE) for an optimized crystal structure of Rb2PaInO6.

- total magnetic moment (μB per formula unit) = 2.01
- D(E_F) (states/eV/f.u.) = 5.60
- SG = Fm-3m, No. 225
- final energy (eV/atom) = -6.42

POSCAR file:
```
Rb2PaInO6
1.0
0.000 4.349 4.349
4.349 0.000 4.349
4.349 4.349 0.000
Rb Pa In O
2 1 1 6
Direct
0.250 0.250 0.250
0.750 0.750 0.750
0.000 0.000 0.000
0.500 0.500 0.500
0.247 0.247 0.753
0.247 0.753 0.247
0.247 0.753 0.753
0.753 0.247 0.247
0.753 0.247 0.753
0.753 0.753 0.247
```

---

Density functional theory data (GGA-PBE) for an optimized crystal structure of Rb3PaIn2O8.

- total magnetic moment (μB per formula unit) = 2.16
- D(E_F) (states/eV/f.u.) = 14.20
- SG = P-3m1, No. 164
- final energy (eV/atom) = -5.89

POSCAR file:
```
Rb3PaIn2O8
1.0
6.296 0.000 0.000
-3.148 5.452 0.000
0.000 0.000 8.271
Rb Pa In O
3 1 2 8
Direct
0.000 0.000 0.000
0.333 0.667 0.665
0.667 0.333 0.335
0.000 0.000 0.500
0.333 0.667 0.240
0.667 0.333 0.760
0.160 0.321 0.345
0.160 0.840 0.345
0.321 0.160 0.655
0.333 0.667 0.994
0.667 0.333 0.006
0.679 0.840 0.345
0.840 0.160 0.655
0.840 0.679 0.655
```

---

Density functional theory data (GGA-PBE) for an optimized crystal structure of PaIn2ReO8.

- total magnetic moment (μB per formula unit) = 2.02
- D(E_F) (states/eV/f.u.) = 3.44
- SG = Cmmm, No. 65
- final energy (eV/atom) = -7.66

POSCAR file:
```
PaIn2ReO8
1.0
3.454 -3.536 0.000
3.454 3.536 0.000
0.000 0.000 6.642
Pa In Re O
1 2 1 8
Direct
0.000 0.000 0.000
0.500 0.500 0.260
0.500 0.500 0.740
0.000 0.000 0.500
0.187 0.813 0.271
0.187 0.813 0.729
0.283 0.283 0.500
0.306 0.306 0.000
0.694 0.694 0.000
0.717 0.717 0.500
0.813 0.187 0.271
0.813 0.187 0.729
```

---

Density functional theory data (GGA-PBE) for an optimized crystal structure of PaInRhO6.

- total magnetic moment (μB per formula unit) = 1.05
- D(E_F) (states/eV/f.u.) = 5.42
- SG = P4_2nm, No. 102
- final energy (eV/atom) = -7.46

POSCAR file:
```
PaInRhO6
1.0
4.934 0.000 0.000
0.000 4.934 0.000
0.000 0.000 9.912
Pa In Rh O
2 2 2 12
Direct
0.000 0.000 0.000
0.500 0.500 0.500
0.000 0.000 0.667
0.500 0.500 0.167
0.000 0.000 0.333
0.500 0.500 0.833
0.187 0.187 0.489
0.190 0.190 0.174
0.212 0.212 0.836
0.288 0.712 0.336
0.310 0.690 0.674
0.313 0.687 0.989
0.687 0.313 0.989
0.690 0.310 0.674
0.712 0.288 0.336
0.788 0.788 0.836
0.810 0.810 0.174
0.813 0.813 0.489
```

---

Density functional theory data (GGA-PBE) for an optimized crystal structure of PaIn2RhO8.

- total magnetic moment (μB per formula unit) = 2.00
- D(E_F) (states/eV/f.u.) = 4.71
- SG = Cmmm, No. 65
- final energy (eV/atom) = -6.96

POSCAR file:
```
PaIn2RhO8
1.0
3.455 -3.520 0.000
3.455 3.520 0.000
0.000 0.000 6.632
Pa In Rh O
1 2 1 8
Direct
0.000 0.000 0.000
0.500 0.500 0.259
0.500 0.500 0.741
0.000 0.000 0.500
0.188 0.812 0.267
0.188 0.812 0.733
0.283 0.283 0.500
0.307 0.307 0.000
0.693 0.693 0.000
0.717 0.717 0.500
0.812 0.188 0.267
0.812 0.188 0.733
```

---

Density functional theory data (GGA-PBE) for an optimized crystal structure of PaIn2RuO8.

- total magnetic moment (μB per formula unit) = 3.02
- D(E_F) (states/eV/f.u.) = 1.88
- SG = Cmmm, No. 65
- final energy (eV/atom) = -7.23

POSCAR file:
```
PaIn2RuO8
1.0
3.454 -3.536 0.000
3.454 3.536 0.000
0.000 0.000 6.612
Pa In Ru O
1 2 1 8
Direct
0.000 0.000 0.000
0.500 0.500 0.261
0.500 0.500 0.739
0.000 0.000 0.500
0.184 0.816 0.271
0.184 0.816 0.729
0.286 0.286 0.500
0.307 0.307 0.000
0.693 0.693 0.000
0.714 0.714 0.500
0.816 0.184 0.271
0.816 0.184 0.729
```

---

Density functional theory data (GGA-PBE) for an optimized crystal structure of PaInRuO6.

- total magnetic moment (μB per formula unit) = 2.00
- D(E_F) (states/eV/f.u.) = 2.05
- SG = P4_2nm, No. 102
- final energy (eV/atom) = -7.76

POSCAR file:
```
PaInRuO6
1.0
4.928 0.000 0.000
0.000 4.928 0.000
0.000 0.000 9.937
Pa In Ru O
2 2 2 12
Direct
0.000 0.000 0.000
0.500 0.500 0.500
0.000 0.000 0.666
0.500 0.500 0.166
0.000 0.000 0.332
0.500 0.500 0.832
0.188 0.188 0.489
0.190 0.190 0.173
0.215 0.215 0.835
0.285 0.715 0.335
0.310 0.690 0.673
0.312 0.688 0.989
0.688 0.312 0.989
0.690 0.310 0.673
0.715 0.285 0.335
0.785 0.785 0.835
0.810 0.810 0.173
0.812 0.812 0.489
```

---

Density functional theory data (GGA-PBE) for an optimized crystal structure of ScPaInO6.

- total magnetic moment (μB per formula unit) = 0.57
- D(E_F) (states/eV/f.u.) = 8.54
- SG = P4_2nm, No. 102
- final energy (eV/atom) = -8.05

POSCAR file:
```
ScPaInO6
1.0
4.985 0.000 0.000
0.000 4.985 0.000
0.000 0.000 10.118
Sc Pa In O
2 2 2 12
Direct
0.000 0.000 0.000
0.500 0.500 0.500
0.000 0.000 0.667
0.500 0.500 0.167
0.000 0.000 0.335
0.500 0.500 0.835
0.190 0.190 0.837
0.193 0.193 0.164
0.200 0.200 0.502
0.300 0.700 0.002
0.307 0.693 0.664
0.310 0.690 0.337
0.690 0.310 0.337
0.693 0.307 0.664
0.700 0.300 0.002
0.800 0.800 0.502
0.807 0.807 0.164
0.810 0.810 0.837
```

---

Density functional theory data (GGA-PBE) for an optimized crystal structure of PaInSi2O8.

- total magnetic moment (μB per formula unit) = 0.00
- D(E_F) (states/eV/f.u.) = 0.00
- SG = C2/m, No. 12
- final energy (eV/atom) = -7.90

POSCAR file:
```
PaInSi2O8
1.0
4.165 -2.811 0.000
4.165 2.811 0.000
-0.268 0.000 7.131
Pa In Si O
1 1 2 8
Direct
0.000 0.000 0.000
0.000 0.000 0.500
0.349 0.349 0.741
0.651 0.651 0.259
0.219 0.706 0.758
0.241 0.241 0.551
0.243 0.243 0.933
0.294 0.781 0.242
0.706 0.219 0.758
0.757 0.757 0.067
0.759 0.759 0.449
0.781 0.294 0.242
```